Record 1
An optimized crystal structure of La2MgRh. Source: Alexandria via LeMat-Bulk, functional PBE-GGA.

Structure (CIF):
```
data_La2MgRh
_cell_length_a 5.105
_cell_length_b 5.105
_cell_length_c 7.237
_cell_angle_alpha 90.00
_cell_angle_beta 90.00
_cell_angle_gamma 90.00
_symmetry_space_group_name_H-M 'I -4 m 2'
_symmetry_Int_Tables_number 119
_symmetry_space_group_name_Hall 'I -4 -2'
loop_
_atom_site_label
_atom_site_type_symbol
_atom_site_fract_x
_atom_site_fract_y
_atom_site_fract_z
La1 La 0.000 0.000 0.000
La2 La 0.000 0.500 0.250
Mg1 Mg 0.000 0.500 0.750
Rh1 Rh 0.000 0.000 0.500
```

Crystal system ... tetragonal
Energy of formation ... -0.26 eV per atom

=====

Record 2
An optimized crystal structure of LaMg2Rh. Source: Alexandria via LeMat-Bulk, functional PBE-GGA.

Structure (CIF):
```
data_LaMg2Rh
_cell_length_a 4.7452
_cell_length_b 4.7452
_cell_length_c 15.2156
_cell_angle_alpha 90.00
_cell_angle_beta 90.00
_cell_angle_gamma 120.00
_symmetry_space_group_name_H-M 'R 3 m'
_symmetry_Int_Tables_number 160
_symmetry_space_group_name_Hall 'R 3 -2"'
loop_
_atom_site_label
_atom_site_type_symbol
_atom_site_fract_x
_atom_site_fract_y
_atom_site_fract_z
La1 La 0.0000 0.0000 0.0000
Mg1 Mg 0.0000 0.0000 0.5264
Mg2 Mg 0.0000 0.0000 0.7889
Rh1 Rh 0.0000 0.0000 0.1734
```

Crystal system ... trigonal
Energy of formation ... -0.35 eV per atom

=====

Record 3
An optimized crystal structure of La2MgRh. Source: Alexandria via LeMat-Bulk, functional PBE-GGA.

Structure (CIF):
```
data_La2MgRh
_cell_length_a 8.452
_cell_length_b 8.452
_cell_length_c 6.436
_cell_angle_alpha 90.00
_cell_angle_beta 90.00
_cell_angle_gamma 90.00
_symmetry_space_group_name_H-M 'I -4 2 d'
_symmetry_Int_Tables_number 122
_symmetry_space_group_name_Hall 'I -4 2bw'
loop_
_atom_site_label
_atom_site_type_symbol
_atom_site_fract_x
_atom_site_fract_y
_atom_site_fract_z
La1 La 0.188 0.250 0.125
Mg1 Mg 0.000 0.000 0.500
Rh1 Rh 0.000 0.000 0.000
```

Crystal system ... tetragonal
Energy of formation ... -0.21 eV per atom

=====

Record 4
An optimized crystal structure of LaMg3Rh. Source: Alexandria via LeMat-Bulk, functional PBE-GGA.

Structure (CIF):
```
data_LaMg3Rh
_cell_length_a 4.984
_cell_length_b 4.984
_cell_length_c 4.984
_cell_angle_alpha 90.00
_cell_angle_beta 90.00
_cell_angle_gamma 90.00
_symmetry_space_group_name_H-M 'P m -3 m'
_symmetry_Int_Tables_number 221
_symmetry_space_group_name_Hall '-P 4 2 3'
loop_
_atom_site_label
_atom_site_type_symbol
_atom_site_fract_x
_atom_site_fract_y
_atom_site_fract_z
La1 La 0.000 0.000 0.000
Mg1 Mg 0.000 0.500 0.500
Rh1 Rh 0.500 0.500 0.500
```

Crystal system ... cubic
Energy of formation ... -0.24 eV per atom

=====

Record 5
An optimized crystal structure of La2MgRh. Source: Alexandria via LeMat-Bulk, functional PBE-GGA.

Structure (CIF):
```
data_La2MgRh
_cell_length_a 3.715
_cell_length_b 3.715
_cell_length_c 7.866
_cell_angle_alpha 90.00
_cell_angle_beta 90.00
_cell_angle_gamma 90.00
_symmetry_space_group_name_H-M 'P 4/m m m'
_symmetry_Int_Tables_number 123
_symmetry_space_group_name_Hall '-P 4 2'
loop_
_atom_site_label
_atom_site_type_symbol
_atom_site_fract_x
_atom_site_fract_y
_atom_site_fract_z
La1 La 0.000 0.000 0.210
Mg1 Mg 0.500 0.500 0.500
Rh1 Rh 0.500 0.500 0.000
```

Crystal system ... tetragonal
Energy of formation ... -0.39 eV per atom

=====

Record 6
An optimized crystal structure of LaMg2Rh. Source: Alexandria via LeMat-Bulk, functional PBE-GGA.

Structure (CIF):
```
data_LaMg2Rh
_cell_length_a 3.214
_cell_length_b 4.695
_cell_length_c 5.734
_cell_angle_alpha 90.00
_cell_angle_beta 90.00
_cell_angle_gamma 90.00
_symmetry_space_group_name_H-M 'P m m m'
_symmetry_Int_Tables_number 47
_symmetry_space_group_name_Hall '-P 2 2'
loop_
_atom_site_label
_atom_site_type_symbol
_atom_site_fract_x
_atom_site_fract_y
_atom_site_fract_z
La1 La 0.000 0.000 0.000
Mg1 Mg 0.500 0.500 0.277
Rh1 Rh 0.000 0.000 0.500
```

Crystal system ... orthorhombic
Energy of formation ... -0.16 eV per atom

=====

Record 7
An optimized crystal structure of LaMg3Rh. Source: Alexandria via LeMat-Bulk, functional PBE-GGA.

Structure (CIF):
```
data_LaMg3Rh
_cell_length_a 5.808
_cell_length_b 5.808
_cell_length_c 5.808
_cell_angle_alpha 90.00
_cell_angle_beta 90.00
_cell_angle_gamma 90.00
_symmetry_space_group_name_H-M 'P m -3 m'
_symmetry_Int_Tables_number 221
_symmetry_space_group_name_Hall '-P 4 2 3'
loop_
_atom_site_label
_atom_site_type_symbol
_atom_site_fract_x
_atom_site_fract_y
_atom_site_fract_z
La1 La 0.000 0.000 0.000
Mg1 Mg 0.000 0.000 0.500
Rh1 Rh 0.500 0.500 0.500
```

Crystal system ... cubic
Energy of formation ... 1.73 eV per atom

=====

Record 8
An optimized crystal structure of LaMgRh2. Source: Alexandria via LeMat-Bulk, functional PBE-GGA.

Structure (CIF):
```
data_LaMgRh2
_cell_length_a 7.204
_cell_length_b 7.204
_cell_length_c 6.253
_cell_angle_alpha 90.00
_cell_angle_beta 90.00
_cell_angle_gamma 90.00
_symmetry_space_group_name_H-M 'I -4 2 d'
_symmetry_Int_Tables_number 122
_symmetry_space_group_name_Hall 'I -4 2bw'
loop_
_atom_site_label
_atom_site_type_symbol
_atom_site_fract_x
_atom_site_fract_y
_atom_site_fract_z
La1 La 0.000 0.000 0.000
Mg1 Mg 0.000 0.000 0.500
Rh1 Rh 0.241 0.750 0.625
```

Crystal system ... tetragonal
Energy of formation ... -0.28 eV per atom

=====

Record 9
An optimized crystal structure of La3Mg7Rh4. Source: Alexandria via LeMat-Bulk, functional PBE-GGA.

Structure (CIF):
```
data_La3Mg7Rh4
_cell_length_a 16.328
_cell_length_b 4.253
_cell_length_c 10.674
_cell_angle_alpha 90.00
_cell_angle_beta 124.12
_cell_angle_gamma 90.00
_symmetry_space_group_name_H-M 'C 1 2/m 1'
_symmetry_Int_Tables_number 12
_symmetry_space_group_name_Hall '-C 2y'
loop_
_atom_site_label
_atom_site_type_symbol
_atom_site_fract_x
_atom_site_fract_y
_atom_site_fract_z
La1 La 0.000 0.000 0.000
La2 La 0.200 0.500 0.719
Mg1 Mg 0.000 0.000 0.500
Mg2 Mg 0.014 0.500 0.288
Mg3 Mg 0.169 0.000 0.429
Mg4 Mg 0.179 0.500 0.008
Rh1 Rh 0.107 0.000 0.808
Rh2 Rh 0.168 0.500 0.261
```

Crystal system ... monoclinic
Energy of formation ... -0.49 eV per atom

=====

Record 10
An optimized crystal structure of LaMgRh2. Source: Alexandria via LeMat-Bulk, functional PBE-GGA.

Structure (CIF):
```
data_LaMgRh2
_cell_length_a 3.940
_cell_length_b 4.014
_cell_length_c 9.750
_cell_angle_alpha 90.00
_cell_angle_beta 90.00
_cell_angle_gamma 90.00
_symmetry_space_group_name_H-M 'I m m 2'
_symmetry_Int_Tables_number 44
_symmetry_space_group_name_Hall 'I 2 -2'
loop_
_atom_site_label
_atom_site_type_symbol
_atom_site_fract_x
_atom_site_fract_y
_atom_site_fract_z
La1 La 0.000 0.000 0.000
Mg1 Mg 0.000 0.500 0.752
Rh1 Rh 0.000 0.000 0.502
Rh2 Rh 0.000 0.500 0.250
```

Crystal system ... orthorhombic
Energy of formation ... -0.43 eV per atom

=====

Record 11
An optimized crystal structure of LaMg2Rh. Source: Alexandria via LeMat-Bulk, functional PBE-GGA.

Structure (CIF):
```
data_LaMg2Rh
_cell_length_a 4.112
_cell_length_b 4.112
_cell_length_c 22.552
_cell_angle_alpha 90.00
_cell_angle_beta 90.00
_cell_angle_gamma 90.00
_symmetry_space_group_name_H-M 'I -4 2 d'
_symmetry_Int_Tables_number 122
_symmetry_space_group_name_Hall 'I -4 2bw'
loop_
_atom_site_label
_atom_site_type_symbol
_atom_site_fract_x
_atom_site_fract_y
_atom_site_fract_z
La1 La 0.000 0.000 0.000
Mg1 Mg 0.224 0.250 0.625
Rh1 Rh 0.000 0.000 0.500
```

Crystal system ... tetragonal
Energy of formation ... -0.15 eV per atom

=====

Record 12
An optimized crystal structure of LaMg2Rh. Source: Alexandria via LeMat-Bulk, functional PBE-GGA.

Structure (CIF):
```
data_LaMg2Rh
_cell_length_a 4.249
_cell_length_b 4.249
_cell_length_c 10.110
_cell_angle_alpha 90.00
_cell_angle_beta 90.00
_cell_angle_gamma 90.00
_symmetry_space_group_name_H-M 'I 4/m m m'
_symmetry_Int_Tables_number 139
_symmetry_space_group_name_Hall '-I 4 2'
loop_
_atom_site_label
_atom_site_type_symbol
_atom_site_fract_x
_atom_site_fract_y
_atom_site_fract_z
La1 La 0.000 0.000 0.000
Mg1 Mg 0.000 0.500 0.250
Rh1 Rh 0.000 0.000 0.500
```

Crystal system ... tetragonal
Energy of formation ... -0.21 eV per atom

=====

> Which formula does entry 6 have?

LaMg2Rh

=====

> What is the energy of formation in the fourth record?

-0.24 eV per atom